Compound: Y2HPb
Source: Alexandria via LeMat-Bulk
Functional: PBE
Structure: relaxed

Summary:
SG = No. 225
energy above the most stable polymorph in this dataset = 449.3 meV/atom
size of the total moment = 0.00 μB per cell

Cell: 5.134 5.134 5.134 Å, 60.00 60.00 60.00°
Fractional positions:
Y1 0.250 0.250 0.250
Y2 0.750 0.750 0.750
H1 0.000 0.000 0.000
Pb1 0.500 0.500 0.500